(1)
! RbCd2NiAg PBE-GGA optimized geometry; values from VASP
&SYSTEM
  ibrav = 0, nat = 5, ntyp = 4
/
ATOMIC_SPECIES
Ni 58.69 Ni.upf
Rb 85.47 Rb.upf
Ag 107.87 Ag.upf
Cd 112.41 Cd.upf
ATOMIC_POSITIONS crystal
Ni 0.000 0.000 0.000
Rb 0.500 0.500 0.500
Ag 0.000 0.000 0.500
Cd 0.000 0.500 0.000
Cd 0.500 0.000 0.000
CELL_PARAMETERS angstrom
5.119 0.000 0.000
0.000 5.119 0.000
0.000 0.000 5.194
! Space group: No. 123
! Final energy (eV/atom): -2.167

=====

(2)
! ZnRu2F2 PBE-GGA optimized geometry; values from VASP
&SYSTEM
  ibrav = 0, nat = 10, ntyp = 3
/
ATOMIC_SPECIES
Ru 101.07 Ru.upf
Zn 65.41 Zn.upf
F 19.00 F.upf
ATOMIC_POSITIONS crystal
Ru 0.393 0.893 0.000
Ru 0.893 0.607 0.000
Ru 0.607 0.107 0.000
Ru 0.107 0.393 0.000
Zn 0.000 0.000 0.000
Zn 0.500 0.500 0.000
F 0.230 0.730 0.500
F 0.730 0.770 0.500
F 0.770 0.270 0.500
F 0.270 0.230 0.500
CELL_PARAMETERS angstrom
-5.888 -1.126 -4.128
4.060 -3.688 -4.785
-0.509 -2.326 1.361
! Energy above the lowest structure with this stoichiometry (eV/f.u.): 1.58
! Space group: No. 127
! Uncorrected formation energy (meV per atom): -27
! Final energy (eV/atom): -4.741

=====

(3)
! YMn2Tc2 PBE-GGA optimized geometry; values from VASP
&SYSTEM
  ibrav = 0, nat = 10, ntyp = 3
/
ATOMIC_SPECIES
Y 88.91 Y.upf
Mn 54.94 Mn.upf
Tc 98.00 Tc.upf
ATOMIC_POSITIONS crystal
Y 0.000 0.000 0.000
Y 0.500 0.500 0.000
Mn 0.374 0.874 0.000
Mn 0.874 0.626 0.000
Mn 0.626 0.126 0.000
Mn 0.126 0.374 0.000
Tc 0.163 0.663 0.500
Tc 0.663 0.837 0.500
Tc 0.837 0.337 0.500
Tc 0.337 0.163 0.500
CELL_PARAMETERS angstrom
-4.849 0.097 5.717
-5.011 -3.683 -4.188
1.022 -2.422 0.908
! Energy above the lowest structure with this stoichiometry (eV/f.u.): 0.67
! Space group: No. 127
! Final energy (eV/atom): -8.884

=====

(4)
! MnNiAg2Te PBE-GGA optimized geometry; values from VASP
&SYSTEM
  ibrav = 0, nat = 5, ntyp = 4
/
ATOMIC_SPECIES
Ni 58.69 Ni.upf
Te 127.60 Te.upf
Ag 107.87 Ag.upf
Mn 54.94 Mn.upf
ATOMIC_POSITIONS crystal
Ni 0.000 0.500 0.000
Te 0.000 0.000 0.000
Ag 0.000 0.000 0.500
Ag 0.500 0.000 0.000
Mn 0.500 0.500 0.500
CELL_PARAMETERS angstrom
-4.178 -3.205 -0.640
1.566 -1.205 -4.188
2.732 -3.995 2.172
! Space group: No. 123
! Uncorrected formation energy (meV per atom): 887
! Final energy (eV/atom): -3.872

=====

The lowest final energy belongs to which entry? YMn2Tc2

=====

What is the final energy in the second record? -4.741 eV/atom